Entry 1:
{
  "formula": "Zr4OsAu",
  "functional": "PBE",
  "state": "relaxed",
  "vol_a3_per_cell": 120,
  "magmom_total_mub_per_cell": 0.00,
  "total_energy_ev_per_atom": -7.70,
  "relative_energy_ev_per_atom": 0.582,
  "cell": [[-3.807, 1.524, 3.725], [-0.204, 5.247, 1.764], [-4.206, 3.271, -1.517]],
  "species": ["Zr", "Zr", "Zr", "Zr", "Os", "Au"],
  "frac_coords": [[0.880, 0.373, 0.373], [0.373, 0.373, 0.373], [0.373, 0.373, 0.880], [0.373, 0.880, 0.373], [0.000, 0.000, 0.000], [0.750, 0.750, 0.750]]
}



Entry 2:
{
  "formula": "ZnBSb3",
  "functional": "PBE",
  "state": "relaxed",
  "vol_a3_per_cell": 114,
  "magmom_total_mub_per_cell": 0.00,
  "total_energy_ev_per_atom": -3.28,
  "raw_formation_energy_ev_per_atom": 0.78,
  "relative_energy_ev_per_atom": 0.000,
  "cell": [[4.852, 0.000, 0.000], [0.000, 4.852, 0.000], [0.000, 0.000, 4.852]],
  "species": ["Sb", "Sb", "Sb", "Zn", "B"],
  "frac_coords": [[0.000, 0.500, 0.000], [0.500, 0.000, 0.000], [0.000, 0.000, 0.500], [0.500, 0.500, 0.500], [0.000, 0.000, 0.000]]
}



Entry 3:
{
  "formula": "Ti12CoSn6",
  "functional": "PBE",
  "state": "relaxed",
  "vol_a3_per_cell": 347,
  "magmom_total_mub_per_cell": 1.28,
  "total_energy_ev_per_atom": -6.79,
  "cell": [[6.993, 0.449, 0.538], [-0.617, 6.980, 0.538], [-0.617, -0.718, 6.964]],
  "species": ["Ti", "Ti", "Ti", "Ti", "Ti", "Ti", "Ti", "Ti", "Ti", "Ti", "Ti", "Ti", "Sn", "Sn", "Sn", "Sn", "Sn", "Sn", "Co"],
  "frac_coords": [[0.628, 0.937, 0.857], [0.797, 0.527, 0.449], [0.857, 0.628, 0.937], [0.449, 0.797, 0.527], [0.063, 0.143, 0.372], [0.937, 0.857, 0.628], [0.551, 0.203, 0.473], [0.473, 0.551, 0.203], [0.143, 0.372, 0.063], [0.527, 0.449, 0.797], [0.203, 0.473, 0.551], [0.372, 0.063, 0.143], [0.123, 0.745, 0.279], [0.255, 0.721, 0.877], [0.279, 0.123, 0.745], [0.877, 0.255, 0.721], [0.721, 0.877, 0.255], [0.745, 0.279, 0.123], [0.000, 0.000, 0.000]]
}



Entry 4:
{
  "formula": "CdPt3F",
  "functional": "PBE",
  "state": "relaxed",
  "vol_a3_per_cell": 87,
  "magmom_total_mub_per_cell": 0.00,
  "total_energy_ev_per_atom": -3.65,
  "raw_formation_energy_ev_per_atom": 0.53,
  "relative_energy_ev_per_atom": 0.000,
  "cell": [[-4.394, -0.447, -0.296], [0.426, -4.395, 0.318], [-0.326, 0.287, 4.406]],
  "species": ["Cd", "F", "Pt", "Pt", "Pt"],
  "frac_coords": [[0.500, 0.500, 0.500], [0.000, 0.000, 0.000], [0.000, 0.000, 0.500], [0.500, 0.000, 0.000], [0.000, 0.500, 0.000]]
}



Entry 5:
{
  "formula": "Rb3GeAu4",
  "functional": "PBE",
  "state": "relaxed",
  "vol_a3_per_cell": 253,
  "magmom_total_mub_per_cell": 0.00,
  "total_energy_ev_per_atom": -2.83,
  "cell": [[6.929, -0.160, 1.097], [-3.551, 5.952, -1.097], [-2.091, -2.661, 6.147]],
  "species": ["Rb", "Rb", "Rb", "Au", "Au", "Au", "Au", "Ge"],
  "frac_coords": [[0.914, 0.000, 0.914], [0.582, 0.266, 0.849], [0.582, 0.734, 0.316], [0.545, 0.209, 0.335], [0.194, 0.263, 0.456], [0.194, 0.737, 0.931], [0.126, 0.791, 0.335], [0.014, 0.500, 0.514]]
}



Entry 6:
{
  "formula": "NdGe3Os2",
  "functional": "PBE",
  "state": "relaxed",
  "vol_a3_per_cell": 219,
  "magmom_total_mub_per_cell": 0.00,
  "total_energy_ev_per_atom": -7.01,
  "cell": [[-1.172, -5.493, -1.441], [4.560, 0.132, -4.211], [3.040, -1.971, 5.042]],
  "species": ["Os", "Os", "Os", "Os", "Ge", "Ge", "Ge", "Ge", "Ge", "Ge", "Nd", "Nd"],
  "frac_coords": [[0.000, 0.211, 0.789], [0.000, 0.789, 0.211], [0.500, 0.789, 0.211], [0.500, 0.211, 0.789], [0.750, 0.453, 0.119], [0.250, 0.980, 0.980], [0.750, 0.020, 0.020], [0.750, 0.119, 0.453], [0.250, 0.881, 0.547], [0.250, 0.547, 0.881], [0.750, 0.647, 0.647], [0.250, 0.353, 0.353]]
}



Entry 7:
{
  "formula": "Hg2IrPt",
  "functional": "PBE",
  "state": "relaxed",
  "vol_a3_per_cell": 73,
  "magmom_total_mub_per_cell": 0.00,
  "total_energy_ev_per_atom": -3.56,
  "relative_energy_ev_per_atom": 0.000,
  "cell": [[5.524, -0.006, 0.224], [4.755, 2.811, 0.224], [1.525, 0.416, 4.756]],
  "species": ["Hg", "Hg", "Ir", "Pt"],
  "frac_coords": [[0.017, 0.017, 0.931], [0.229, 0.229, 0.325], [0.480, 0.480, 0.443], [0.774, 0.774, 0.800]]
}



Entry 8:
{
  "formula": "Tb2PrHoEr6",
  "functional": "PBE",
  "state": "relaxed",
  "vol_a3_per_cell": 637,
  "magmom_total_mub_per_cell": 0.00,
  "total_energy_ev_per_atom": -4.48,
  "cell": [[9.040, -2.007, -2.082], [0.837, 8.473, -2.002], [0.837, -2.315, 8.393]],
  "species": ["Er", "Er", "Er", "Er", "Er", "Er", "Er", "Er", "Er", "Er", "Er", "Er", "Tb", "Tb", "Tb", "Tb", "Ho", "Ho", "Pr", "Pr"],
  "frac_coords": [[0.618, 0.491, 0.708], [0.817, 0.433, 0.981], [0.058, 0.125, 0.748], [0.317, 0.981, 0.433], [0.882, 0.292, 0.509], [0.183, 0.567, 0.019], [0.683, 0.019, 0.567], [0.442, 0.252, 0.875], [0.382, 0.509, 0.292], [0.118, 0.708, 0.491], [0.558, 0.748, 0.125], [0.942, 0.875, 0.252], [0.954, 0.696, 0.802], [0.546, 0.198, 0.304], [0.046, 0.304, 0.198], [0.454, 0.802, 0.696], [0.250, 0.410, 0.590], [0.750, 0.590, 0.410], [0.750, 0.025, 0.975], [0.250, 0.975, 0.025]]
}



Entry 9:
{
  "formula": "AcIn2Ir",
  "functional": "PBE",
  "state": "relaxed",
  "vol_a3_per_cell": 804,
  "magmom_total_mub_per_cell": 0.00,
  "total_energy_ev_per_atom": -5.10,
  "relative_energy_ev_per_atom": 0.033,
  "cell": [[5.836, 0.000, 0.000], [0.000, 8.348, 0.000], [0.000, 0.000, 16.511]],
  "species": ["In", "In", "In", "In", "In", "In", "In", "In", "In", "In", "In", "In", "In", "In", "In", "In", "Ac", "Ac", "Ac", "Ac", "Ac", "Ac", "Ac", "Ac", "Ir", "Ir", "Ir", "Ir", "Ir", "Ir", "Ir", "Ir"],
  "frac_coords": [[0.530, 0.051, 0.714], [0.470, 0.551, 0.286], [0.470, 0.949, 0.286], [0.767, 0.946, 0.040], [0.030, 0.949, 0.786], [0.767, 0.554, 0.040], [0.233, 0.054, 0.960], [0.233, 0.446, 0.960], [0.267, 0.054, 0.460], [0.267, 0.446, 0.460], [0.970, 0.449, 0.214], [0.970, 0.051, 0.214], [0.733, 0.946, 0.540], [0.030, 0.551, 0.786], [0.733, 0.554, 0.540], [0.530, 0.449, 0.714], [0.757, 0.250, 0.396], [0.743, 0.250, 0.896], [0.964, 0.750, 0.360], [0.036, 0.250, 0.640], [0.536, 0.750, 0.860], [0.257, 0.750, 0.104], [0.464, 0.250, 0.140], [0.243, 0.750, 0.604], [0.248, 0.250, 0.320], [0.480, 0.750, 0.427], [0.020, 0.750, 0.927], [0.748, 0.750, 0.180], [0.520, 0.250, 0.573], [0.252, 0.250, 0.820], [0.752, 0.750, 0.680], [0.980, 0.250, 0.073]]
}



Entry 10:
{
  "formula": "SiPO2F",
  "functional": "PBE",
  "state": "relaxed",
  "vol_a3_per_cell": 59,
  "magmom_total_mub_per_cell": 0.00,
  "total_energy_ev_per_atom": -5.02,
  "raw_formation_energy_ev_per_atom": -0.49,
  "cell": [[3.781, 0.000, 0.000], [0.000, 3.781, 0.000], [0.000, 0.000, 4.150]],
  "species": ["Si", "O", "O", "F", "P"],
  "frac_coords": [[0.500, 0.500, 0.500], [0.500, 0.000, 0.000], [0.000, 0.500, 0.000], [0.000, 0.000, 0.500], [0.000, 0.000, 0.000]]
}



Entry 11:
{
  "formula": "BaGeH6",
  "functional": "PBE",
  "state": "relaxed",
  "vol_a3_per_cell": 90,
  "magmom_total_mub_per_cell": 0.00,
  "total_energy_ev_per_atom": -3.38,
  "cell": [[-4.742, -1.200, -0.346], [-1.593, -4.257, 1.841], [-2.880, 0.117, 4.311]],
  "species": ["H", "H", "H", "H", "H", "H", "Ba", "Ge"],
  "frac_coords": [[0.600, 0.089, 0.222], [0.089, 0.600, 0.222], [0.911, 0.400, 0.778], [0.089, 0.089, 0.222], [0.911, 0.911, 0.778], [0.400, 0.911, 0.778], [0.500, 0.500, 0.500], [0.000, 0.000, 0.000]]
}



Entry 12:
{
  "formula": "Tb4Dy5Al",
  "functional": "PBE",
  "state": "relaxed",
  "vol_a3_per_cell": 316,
  "magmom_total_mub_per_cell": 0.00,
  "total_energy_ev_per_atom": -4.42,
  "relative_energy_ev_per_atom": 0.174,
  "cell": [[-1.833, 2.422, -4.790], [-2.817, -5.498, -5.060], [-7.721, 1.955, 0.585]],
  "species": ["Tb", "Tb", "Tb", "Tb", "Dy", "Dy", "Dy", "Dy", "Dy", "Al"],
  "frac_coords": [[0.456, 0.686, 0.314], [0.143, 0.314, 0.314], [0.770, 0.686, 0.686], [0.456, 0.314, 0.686], [0.657, 0.000, 0.000], [0.781, 0.000, 0.366], [0.781, 0.366, 0.000], [0.146, 0.000, 0.634], [0.146, 0.634, 0.000], [0.174, 0.000, 0.000]]
}